# 1
# In2Hg2I GGA-PBEsol relaxed
data_In2Hg2I
_symmetry_space_group_name_H-M 'P 4/m b m'
_symmetry_Int_Tables_number 127
_symmetry_space_group_name_Hall '-P 4 2ab'
_cell_length_a 8.646
_cell_length_b 8.646
_cell_length_c 3.749
_cell_angle_alpha 90.00
_cell_angle_beta 90.00
_cell_angle_gamma 90.00
loop_
_atom_site_label
_atom_site_fract_x
_atom_site_fract_y
_atom_site_fract_z
In1 0.170 0.330 0.000
Hg1 0.131 0.631 0.500
I1 0.000 0.000 0.000
# Energy (eV/atom): -1.88
# ΔE_f (raw) (kJ per mole of atoms): -10.18

# 2
# Ba2Mg GGA-PBEsol relaxed
data_Ba2Mg
_symmetry_space_group_name_H-M 'I 41/a m d'
_symmetry_Int_Tables_number 141
_cell_length_a 4.210
_cell_length_b 4.210
_cell_length_c 32.470
_cell_angle_alpha 90.00
_cell_angle_beta 90.00
_cell_angle_gamma 90.00
loop_
_symmetry_equiv_pos_as_xyz
'x,y,z'
'-x,-y,-z'
'-y+1/4,x+3/4,z+1/4'
'y+1/4,-x+3/4,-z+1/4'
'-x+1/2,-y,z+1/2'
'x+1/2,y,-z+1/2'
'y+1/4,-x+1/4,z+3/4'
'-y+1/4,x+1/4,-z+3/4'
'x,-y,-z'
'-x,y,z'
'-y+1/4,-x+1/4,-z+3/4'
'y+1/4,x+1/4,z+3/4'
'-x+1/2,y,-z+1/2'
'x+1/2,-y,z+1/2'
'y+1/4,x+3/4,-z+1/4'
'-y+1/4,-x+3/4,z+1/4'
'x+1/2,y+1/2,z+1/2'
'-x+1/2,-y+1/2,-z+1/2'
'-y+3/4,x+1/4,z+3/4'
'y+3/4,-x+1/4,-z+3/4'
'-x,-y+1/2,z'
'x,y+1/2,-z'
'y+3/4,-x+3/4,z+1/4'
'-y+3/4,x+3/4,-z+1/4'
'x+1/2,-y+1/2,-z+1/2'
'-x+1/2,y+1/2,z+1/2'
'-y+3/4,-x+3/4,-z+1/4'
'y+3/4,x+3/4,z+1/4'
'-x,y+1/2,-z'
'x,-y+1/2,z'
'y+3/4,x+1/4,-z+3/4'
'-y+3/4,-x+1/4,z+3/4'
loop_
_atom_site_label
_atom_site_fract_x
_atom_site_fract_y
_atom_site_fract_z
Ba1 0.000 0.250 0.309
Mg1 0.000 0.250 0.875
# Energy of formation (kcal/mol of atoms): 0.695
# Energy (eV/atom): -1.97

# 3
# NaZrB2 GGA-PBEsol relaxed
data_NaZrB2
_symmetry_space_group_name_H-M 'F m -3 m'
_symmetry_Int_Tables_number 225
_symmetry_space_group_name_Hall '-F 4 2 3'
_cell_length_a 5.912
_cell_length_b 5.912
_cell_length_c 5.912
_cell_angle_alpha 90.00
_cell_angle_beta 90.00
_cell_angle_gamma 90.00
loop_
_atom_site_label
_atom_site_fract_x
_atom_site_fract_y
_atom_site_fract_z
Na1 0.000 0.000 0.000
Zr1 0.000 0.000 0.500
B1 0.250 0.250 0.250
# Energy of formation (kcal/mol of atoms): 16.903
# Energy (eV/atom): -5.40

no.,spin magnetization (μB/f.u.)
1,0.0
2,0.0
3,0.0